Computed, not measured: a relaxed structure of Sr2ZnNi at the PBE level of DFT.

```
Sr2ZnNi
1.0
-4.4056 -3.3153 -6.0902
-0.2862 -3.7389 -7.3095
-2.0142 -6.5521 -4.5281
Sr Zn Ni
2 1 1
Cartesian
-0.2602 -0.5280 -0.6956 Sr
-1.4155 -2.8721 -3.7843 Sr
-3.0726 -6.2344 -8.2145 Zn
-5.3105 -10.7751 -14.1974 Ni
```

## Properties
- density of states at the Fermi level (states/eV/cell) = 2.35
- offset from the most stable computed form (meV per atom) = 0.0
- symmetry = No. 160
- formation energy from the elements (kJ per mole of atoms) = -17.65